one) The following is a meta-GGA SCAN calculation of a crystal of SrCa2Ag2 relaxed with PBEsol, from the Alexandria database.

Cell: 4.7958 4.7958 13.1832 Å, 90.00 90.00 90.00°
Closest atoms and distances in Å follow each position.
Space group I4/mmm (No. 139)
Asymmetric unit:
Sr1 0.0000 0.0000 0.0000 (multiplicity 2)  8 Ag 3.65, 8 Ca 4.08
Ca1 0.0000 0.5000 0.2500 (multiplicity 4)  4 Ag 3.08, 4 Ca 3.39
Ag1 0.0000 0.0000 0.3971 (multiplicity 4)  1 Ag 2.71

crystal system: tetragonal
ρ: 4.20 g/cm3

---

two) The following is a meta-GGA SCAN calculation of a crystal of SrCa2Ag2 relaxed with PBEsol, from the Alexandria database.

Cell: 5.4217 5.4217 11.0844 Å, 90.00 90.00 90.00°
Closest atoms and distances in Å follow each position.
Space group I4/mmm (No. 139)
Asymmetric unit:
Sr1 0.0000 0.0000 0.0000 (multiplicity 2)  10 Ca 3.81-4.21, 8 Ag 3.88
Ca1 0.0000 0.0000 0.3438 (multiplicity 4)  4 Ag 2.90
Ag1 0.0000 0.5000 0.2500 (multiplicity 4)  4 Ca 2.90

crystal system: tetragonal
ρ: 3.91 g/cm3

---

So which one is most stable? That would be one), about 153 meV/atom below the next structure.